# AcPrPd, optimized geometry, DFT PBE-GGA
# energy of formation: -0.3374 eV/atom
# size of the total moment: 0.00 μB per cell
# crystal system: cubic
# uncorrected energy: -60.37 eV for the cell shown
# DOS(E_F): 20.41 states/eV per cell
data_AcPrPd
_chemical_formula_sum 'Ac4 Pr4 Pd4'
_cell_length_a 7.375
_cell_length_b 7.375
_cell_length_c 7.375
_cell_angle_alpha 90.00
_cell_angle_beta 90.00
_cell_angle_gamma 90.00
_symmetry_space_group_name_H-M 'F -4 3 m'
_symmetry_Int_Tables_number 216
_symmetry_space_group_name_Hall 'F -4 2 3'
loop_
_atom_site_label
_atom_site_fract_x
_atom_site_fract_y
_atom_site_fract_z
Ac1 0.000 0.000 0.000
Pr1 0.000 0.000 0.500
Pd1 0.250 0.250 0.250

# AcPr2Pd2, optimized geometry, DFT PBE-GGA
# energy of formation: -0.5824 eV/atom
# size of the total moment: 0.00 μB per cell
# crystal system: tetragonal
# uncorrected energy: -53.93 eV for the cell shown
# DOS(E_F): 8.77 states/eV per cell
data_AcPr2Pd2
_chemical_formula_sum 'Ac2 Pr4 Pd4'
_cell_length_a 8.292
_cell_length_b 8.292
_cell_length_c 4.089
_cell_angle_alpha 90.00
_cell_angle_beta 90.00
_cell_angle_gamma 90.00
_symmetry_space_group_name_H-M 'P 4/m b m'
_symmetry_Int_Tables_number 127
_symmetry_space_group_name_Hall '-P 4 2ab'
loop_
_atom_site_label
_atom_site_fract_x
_atom_site_fract_y
_atom_site_fract_z
Ac1 0.000 0.000 0.000
Pr1 0.161 0.339 0.500
Pd1 0.125 0.625 0.000

# Ac12PrPd7, optimized geometry, DFT PBE-GGA
# energy of formation: -0.4884 eV/atom
# size of the total moment: 0.00 μB per cell
# crystal system: trigonal
# uncorrected energy: -300.60 eV for the cell shown
# DOS(E_F): 62.21 states/eV per cell
data_Ac12PrPd7
_chemical_formula_sum 'Ac36 Pr3 Pd21'
_cell_length_a 15.6215
_cell_length_b 15.6215
_cell_length_c 10.6875
_cell_angle_alpha 90.00
_cell_angle_beta 90.00
_cell_angle_gamma 120.00
_symmetry_space_group_name_H-M 'R -3'
_symmetry_Int_Tables_number 148
_symmetry_space_group_name_Hall '-R 3'
loop_
_atom_site_label
_atom_site_fract_x
_atom_site_fract_y
_atom_site_fract_z
Ac1 0.0270 0.5900 0.1631
Ac2 0.0504 0.1773 0.8314
Pr1 0.0000 0.0000 0.5000
Pd1 0.0000 0.0000 0.0000
Pd2 0.0508 0.1803 0.3330